Computed, not measured: a relaxed ZnInIr2 crystal at the PBE level of DFT.

Properties
ΔE_f, eV per atom: 0.1408
Density of states at the Fermi level, states/eV/atom: 0.365
Electronic total energy, eV/cell: -42.34
Total magnetization, μB/f.u.: 0.00

Cell: 2.939 4.952 8.885 Å, 90.00 90.00 90.00°
Space group Cmmm (No. 65)
Asymmetric unit:
Zn  0.000  0.000  0.000
In  0.000  0.000  0.500
Ir  0.000  0.500  0.238